No. 1
The following is a DFT calculation (PBE) of a geometry-optimized LiTlBr2 structure.

The formation energy (no corrections) is -1.00 eV/atom. The value obtained for the energy is -11.623 eV/cell. As for the crystal system: tetragonal.

a = 3.7440 Å, b = 3.7440 Å, c = 7.8134 Å
α = 90.00°, β = 90.00°, γ = 90.00°
Last column: nearest neighbours and their distance in Å.
Space group P4/mmm (No. 123)
Inequivalent atoms, fractional coordinates:
Li (0.0000, 0.0000, 0.0000) (multiplicity 1)  8 Br 3.16
Tl (0.0000, 0.0000, 0.5000) (multiplicity 1)  8 Br 3.43, 4 Tl 3.74
Br (0.5000, 0.5000, 0.2205) (multiplicity 2)  4 Li 3.16, 4 Tl 3.43, 1 Br 3.45

No. 2
The following is a DFT calculation (PBE) of a geometry-optimized LiTlBr2 structure.

The formation energy (no corrections) is -0.62 eV/atom. The value obtained for the energy is -40.395 eV/cell. As for the crystal system: cubic.

a = 7.7346 Å, b = 7.7346 Å, c = 7.7346 Å
α = 90.00°, β = 90.00°, γ = 90.00°
Last column: nearest neighbours and their distance in Å.
Space group F-43m (No. 216)
Inequivalent atoms, fractional coordinates:
Li (0.0000, 0.0000, 0.0000) (multiplicity 4)  4 Tl 3.35, 4 Br 3.35
Tl (0.2500, 0.2500, 0.2500) (multiplicity 4)  4 Li 3.35, 4 Br 3.35
Br (0.0000, 0.0000, 0.5000) (multiplicity 4)  4 Tl 3.35, 4 Br 3.35
Br (0.2500, 0.2500, 0.7500) (multiplicity 4)  4 Li 3.35, 4 Br 3.35